VASP calculation (PBE+U) on an optimized crystal structure of ZnCoSiO5.

abc: 5.4305 5.3302 6.9006
angles: 107.90 107.93 97.35
Site moments in Bohr magnetons follow the coordinates.
Positions (direct):
O  0.9231  0.0722  0.2504  0.11
O  0.6474  0.7161  0.3639  0.09
O  0.0769  0.9278  0.7496  0.11
O  0.2212  0.7505  0.0443  -0.03
O  0.1656  0.7040  0.4148  0.03
O  0.7788  0.2495  0.9557  -0.03
O  0.3004  0.2960  0.1446  0.04
O  0.3526  0.2839  0.6361  0.09
O  0.8344  0.2960  0.5852  0.03
O  0.6996  0.7040  0.8554  0.04
Si  0.6796  0.3691  0.7596  0.01
Si  0.3204  0.6309  0.2404  0.01
Co  0.0000  0.0000  0.0000  1.01
Co  0.0000  0.0000  0.5000  2.40
Zn  0.7155  0.3472  0.2600  -0.01
Zn  0.2845  0.6528  0.7400  -0.01

## Properties
As for the total magnetization: 4.0 μB per cell. Its final energy is -98.18 eV per cell. The space group is P-1 (2).